CdAg2F4 | Alexandria via LeMat-Bulk | PBE-GGA | optimized geometry; ΔE_f (raw) = -10.2 eV per formula unit
1.0
3.5324 0.0000 0.0000
0.0000 5.7872 -2.2057
0.0000 0.0930 6.1926
F Cd Ag
4 1 2
direct
0.0000 0.7771 0.2229
0.5000 0.2033 0.2033
0.0000 0.2229 0.7771
0.5000 0.7967 0.7967
0.0000 0.0000 0.0000
0.5000 0.5000 0.0000
0.5000 0.0000 0.5000



AlTlTc2 | Alexandria via LeMat-Bulk | PBE-GGA | optimized geometry; D(E_F) = 3.89 states/eV per cell; E_form = 0.413 eV per atom
1.0
-2.2319 1.0155 1.5167
-0.6657 -0.5659 -2.7477
-2.2145 -8.1863 2.2224
Tc Al Tl
2 1 1
direct
0.0000 0.0000 0.5215
0.0000 0.0000 0.9785
0.5000 0.5000 0.7500
0.5000 0.5000 0.2500



| no. | magnetic moment (μB/cell) |
| --- | --- |
| 1 | 0.000 |
| 2 | 0.000 |